[1]
This record from the Alexandria database describes FeTe2Au after structural relaxation. The functional is GGA-PBE.

Cell: 3.7180 3.7180 7.6419 Å, 76.02 76.02 60.04°
With the nearest neighbours (Å) after each atom.
Positions (direct):
Au 0.7500 0.7500 0.7500  6 Te 2.98-2.99
Fe 0.2500 0.2500 0.2500  6 Te 2.68
Te 0.9884 0.9884 0.0323  3 Fe 2.68, 3 Au 2.98-2.99
Te 0.5116 0.5116 0.4677  3 Fe 2.68, 3 Au 2.98-2.99

Volume   88 Å³/f.u.
Raw formation energy   105.3 meV/atom



[2]
This record from the Alexandria database describes FeTe2Au after structural relaxation. The functional is GGA-PBE.

Cell: 4.2628 4.0044 6.0372 Å, 90.08 90.00 90.00°
With the nearest neighbours (Å) after each atom.
Positions (direct):
Au 0.0000 0.7498 0.4145  2 Fe 2.79, 5 Te 2.84-2.93
Fe 0.5000 0.7502 0.7132  4 Te 2.55-2.64, 2 Au 2.79
Te 0.0000 0.7502 0.9447  2 Fe 2.55, 1 Au 2.84
Te 0.5000 0.2497 0.4276  2 Fe 2.64, 4 Au 2.93

Volume   103 Å³/f.u.
Raw formation energy   118.6 meV/atom



[3]
This record from the Alexandria database describes FeTe2Au after structural relaxation. The functional is GGA-PBE.

Cell: 7.1482 7.1482 7.1482 Å, 151.91 148.04 43.06°
With the nearest neighbours (Å) after each atom.
Positions (direct):
Au 0.5558 0.5558 0.0000  6 Te 2.91-3.05
Fe 0.7883 0.2883 0.5000  6 Te 2.66-2.79
Te 0.9395 0.9395 0.0000  2 Fe 2.66
Te 0.2165 0.7165 0.5000  4 Fe 2.79, 2 Au 2.91

Volume   91 Å³/f.u.
Raw formation energy   255.6 meV/atom



[4]
This record from the Alexandria database describes Fe2TeAu after structural relaxation. The functional is GGA-PBE.

Cell: 3.6291 3.1579 6.5401 Å, 90.09 90.00 90.00°
With the nearest neighbours (Å) after each atom.
Positions (direct):
Au 0.5000 0.7500 0.7500  8 Fe 2.69
Fe 0.0000 0.2509 0.9346  1 Fe 2.41, 4 Au 2.69
Fe 0.0000 0.2491 0.5654  1 Fe 2.41, 4 Au 2.69
Te 0.5000 0.2500 0.2500  4 Fe 2.75

Volume   75 Å³/f.u.
Raw formation energy   344.9 meV/atom



[5]
This record from the Alexandria database describes Fe2TeAu after structural relaxation. The functional is GGA-PBE.

Cell: 4.0181 3.5321 5.1446 Å, 70.06 90.00 90.00°
With the nearest neighbours (Å) after each atom.
Positions (direct):
Au 0.5000 0.7700 0.8338  7 Fe 2.74-2.77
Fe 0.0000 0.1977 0.9771  2 Fe 2.45, 1 Te 2.69
Fe 0.5000 0.0545 0.2678  2 Fe 2.45, 3 Au 2.74
Te 0.0000 0.4777 0.4213  7 Fe 2.69-2.78

Volume   69 Å³/f.u.
Raw formation energy   269.0 meV/atom



[6]
This record from the Alexandria database describes FeTe3Au after structural relaxation. The functional is GGA-PBE.

Cell: 5.0035 5.0035 5.0035 Å, 90.00 90.00 90.00°
With the nearest neighbours (Å) after each atom.
Positions (direct):
Te 0.0000 0.5000 0.0000  2 Fe 2.50
Te 0.0000 0.0000 0.5000  2 Fe 2.50
Te 0.5000 0.0000 0.0000  2 Fe 2.50
Au 0.5000 0.5000 0.5000  12 Te 3.54
Fe 0.0000 0.0000 0.0000  6 Te 2.50

Energy above the lowest structure with this stoichiometry   0 meV per atom
Volume   125 Å³/f.u.
Raw formation energy   600.5 meV/atom



[7]
This record from the Alexandria database describes FeTeAu2 after structural relaxation. The functional is GGA-PBE.

Cell: 5.2339 5.2339 5.2339 Å, 132.87 132.87 68.85°
With the nearest neighbours (Å) after each atom.
Positions (direct):
Au 0.0000 0.0000 0.0000  4 Fe 2.96, 4 Te 3.01, 4 Au 3.01
Au 0.2500 0.7500 0.5000  4 Te 2.96, 4 Fe 3.01, 4 Au 3.01
Fe 0.5000 0.5000 0.0000  8 Au 2.96-3.01, 4 Te 3.01
Te 0.7500 0.2500 0.5000  8 Au 2.96-3.01, 4 Fe 3.01

Volume   76 Å³/f.u.
Raw formation energy   341.1 meV/atom



[8]
This record from the Alexandria database describes Fe2TeAu after structural relaxation. The functional is GGA-PBE.

Cell: 5.3167 5.3167 5.3167 Å, 140.12 134.35 62.20°
With the nearest neighbours (Å) after each atom.
Positions (direct):
Au 0.2401 0.7401 0.5000  8 Fe 2.77-3.08, 4 Te 2.91-3.08
Fe 0.9664 0.9664 0.0000  2 Fe 2.49, 4 Te 2.78
Fe 0.7794 0.2794 0.5000  2 Fe 2.49, 4 Au 2.77
Te 0.5142 0.5142 0.0000  8 Fe 2.78-3.02, 4 Au 2.91-3.08

Volume   68 Å³/f.u.
Raw formation energy   356.3 meV/atom



[9]
This record from the Alexandria database describes FeTe2Au after structural relaxation. The functional is GGA-PBE.

Cell: 3.2988 3.1787 7.8823 Å, 90.00 90.00 90.00°
With the nearest neighbours (Å) after each atom.
Positions (direct):
Au 0.5000 0.5000 0.2500  4 Au 3.18-3.30, 8 Te 3.26
Fe 0.5000 0.5000 0.7500  8 Te 2.81
Te 0.0000 0.0000 0.9554  4 Fe 2.81
Te 0.0000 0.0000 0.5446  4 Fe 2.81

Volume   83 Å³/f.u.
Raw formation energy   347.1 meV/atom



[10]
This record from the Alexandria database describes FeTeAu2 after structural relaxation. The functional is GGA-PBE.

Cell: 2.9868 2.9868 9.0310 Å, 90.00 90.00 89.89°
With the nearest neighbours (Å) after each atom.
Positions (direct):
Au 0.0000 0.0000 0.0572  4 Fe 2.74, 4 Au 2.99
Au 0.0000 0.0000 0.4428  4 Fe 2.74, 4 Au 2.99
Fe 0.5000 0.5000 0.2500  8 Au 2.74, 4 Fe 2.99
Te 0.5000 0.5000 0.7500  4 Te 2.99

Volume   81 Å³/f.u.
Raw formation energy   254.8 meV/atom



[11]
This record from the Alexandria database describes FeTe2Au after structural relaxation. The functional is GGA-PBE.

Cell: 6.9185 6.9185 6.9185 Å, 148.64 143.74 48.68°
With the nearest neighbours (Å) after each atom.
Positions (direct):
Au 0.2500 0.7500 0.5000  4 Te 2.84, 4 Fe 2.85
Fe 0.7500 0.2500 0.5000  4 Te 2.63, 4 Au 2.85
Te 0.8969 0.8969 0.0000  2 Fe 2.63, 2 Au 2.84
Te 0.6031 0.6031 0.0000  2 Fe 2.63, 2 Au 2.84

Volume   101 Å³/f.u.
Raw formation energy   76.7 meV/atom



[12]
This record from the Alexandria database describes FeTe2Au after structural relaxation. The functional is GGA-PBE.

Cell: 5.2207 5.2207 6.7718 Å, 80.61 80.61 37.13°
With the nearest neighbours (Å) after each atom.
Positions (direct):
Au 0.5689 0.5689 0.3525  3 Fe 2.73-2.79, 3 Te 2.81-2.88
Fe 0.2857 0.2857 0.3699  4 Te 2.59-2.61, 3 Au 2.73-2.79
Te 0.9226 0.9226 0.1135  2 Fe 2.61, 2 Au 2.88
Te 0.7228 0.7228 0.6641  2 Fe 2.59, 1 Au 2.81

Volume   110 Å³/f.u.
Raw formation energy   94.5 meV/atom



[13]
This record from the Alexandria database describes FeTe2Au2 after structural relaxation. The functional is GGA-PBE.

Cell: 7.4061 7.4061 4.1860 Å, 90.00 90.00 90.00°
With the nearest neighbours (Å) after each atom.
Positions (direct):
Te 0.3114 0.8114 0.0000  2 Fe 2.70, 2 Au 2.81
Te 0.8114 0.6886 0.0000  2 Fe 2.70, 2 Au 2.81
Te 0.6886 0.1886 0.0000  2 Fe 2.70, 2 Au 2.81
Te 0.1886 0.3114 0.0000  2 Fe 2.70, 2 Au 2.81
Au 0.1323 0.6323 0.5000  1 Au 2.77, 2 Te 2.81
Au 0.6323 0.8677 0.5000  1 Au 2.77, 2 Te 2.81
Au 0.8677 0.3677 0.5000  1 Au 2.77, 2 Te 2.81
Au 0.3677 0.1323 0.5000  1 Au 2.77, 2 Te 2.81
Fe 0.0000 0.0000 0.0000  4 Te 2.70
Fe 0.5000 0.5000 0.0000  4 Te 2.70

Volume   115 Å³/f.u.
Raw formation energy   342.6 meV/atom



[14]
This record from the Alexandria database describes FeTeAu after structural relaxation. The functional is GGA-PBE.

Cell: 6.5588 6.5588 3.0936 Å, 76.36 76.36 27.28°
With the nearest neighbours (Å) after each atom.
Positions (direct):
Au 0.9685 0.9685 0.0315  4 Fe 2.78, 4 Au 3.09
Fe 0.3299 0.3299 0.6701  4 Te 2.70, 4 Au 2.78
Te 0.7016 0.7016 0.2984  4 Fe 2.70

Energy above the lowest structure with this stoichiometry   140 meV per atom
Volume   59 Å³/f.u.
Raw formation energy   335.9 meV/atom



[15]
This record from the Alexandria database describes Fe2TeAu after structural relaxation. The functional is GGA-PBE.

Cell: 4.5382 4.5383 3.1527 Å, 90.00 90.00 90.00°
With the nearest neighbours (Å) after each atom.
Positions (direct):
Au 0.0000 0.5000 0.5000  8 Fe 2.76
Fe 0.0000 0.0000 0.0000  4 Te 2.76, 4 Au 2.76
Fe 0.5000 0.5000 0.0000  4 Au 2.76, 4 Te 2.76
Te 0.5000 0.0000 0.5000  8 Fe 2.76

Volume   65 Å³/f.u.
Raw formation energy   358.6 meV/atom



[16]
This record from the Alexandria database describes Th5FeAu2 after structural relaxation. The functional is GGA-PBE.

Cell: 4.3357 8.5760 11.7212 Å, 90.00 90.00 90.00°
With the nearest neighbours (Å) after each atom.
Positions (direct):
Th 0.0000 0.0000 0.5000  4 Au 3.06
Th 0.0000 0.5000 0.0000  4 Au 3.06
Th 0.0000 0.8660 0.2011  1 Fe 2.62
Th 0.0000 0.1340 0.7989  1 Fe 2.62
Th 0.0000 0.6340 0.7011  1 Fe 2.62
Th 0.0000 0.3660 0.2989  1 Fe 2.62
Th 0.5000 0.6798 0.4278  2 Fe 2.79, 1 Au 3.10
Th 0.5000 0.3202 0.5722  2 Fe 2.79, 1 Au 3.10
Th 0.5000 0.8202 0.9278  2 Fe 2.79, 1 Au 3.10
Th 0.5000 0.1798 0.0722  2 Fe 2.79, 1 Au 3.10
Fe 0.0000 0.5000 0.5000  6 Th 2.62-2.79
Fe 0.0000 0.0000 0.0000  6 Th 2.62-2.79
Au 0.5000 0.5885 0.1722  7 Th 3.06-3.25
Au 0.5000 0.4115 0.8278  7 Th 3.06-3.25
Au 0.5000 0.9115 0.6722  7 Th 3.06-3.25
Au 0.5000 0.0885 0.3278  7 Th 3.06-3.25

Total DFT energy (no corrections)   -110.0 eV for the cell shown
Volume   218 Å³/f.u.



[17]
This record from the Alexandria database describes Th5Fe2Au2 after structural relaxation. The functional is GGA-PBE.

Cell: 7.3271 7.9161 8.5870 Å, 90.00 64.75 90.00°
With the nearest neighbours (Å) after each atom.
Positions (direct):
Th 0.0000 0.0000 0.0000  2 Fe 2.70
Th 0.5000 0.5000 0.0000  2 Fe 2.70
Th 0.4641 0.1700 0.7602  3 Fe 2.85-2.97, 2 Au 3.14-3.20
Th 0.7757 0.8300 0.7602  3 Fe 2.85-2.97, 2 Au 3.14-3.20
Th 0.2757 0.6700 0.7602  3 Fe 2.85-2.97, 2 Au 3.14-3.20
Th 0.9641 0.3300 0.7602  3 Fe 2.85-2.97, 2 Au 3.14-3.20
Th 0.5359 0.8300 0.2398  3 Fe 2.85-2.97, 2 Au 3.14-3.20
Th 0.2243 0.1700 0.2398  3 Fe 2.85-2.97, 2 Au 3.14-3.20
Th 0.7243 0.3300 0.2398  3 Fe 2.85-2.97, 2 Au 3.14-3.20
Th 0.0359 0.6700 0.2398  3 Fe 2.85-2.97, 2 Au 3.14-3.20
Fe 0.1553 0.3799 0.0000  7 Th 2.70-2.97, 1 Fe 2.97
Fe 0.8447 0.6201 0.0000  7 Th 2.70-2.97, 1 Fe 2.97
Fe 0.3447 0.8799 0.0000  7 Th 2.70-2.97, 1 Fe 2.97
Fe 0.6553 0.1201 0.0000  7 Th 2.70-2.97, 1 Fe 2.97
Au 0.2130 0.0000 0.5741  7 Th 3.14-3.31
Au 0.7130 0.5000 0.5741  7 Th 3.14-3.31
Au 0.7870 0.0000 0.4259  7 Th 3.14-3.31
Au 0.2870 0.5000 0.4259  7 Th 3.14-3.31

Total DFT energy (no corrections)   -126.8 eV for the cell shown
Volume   225 Å³/f.u.



[18]
This record from the Alexandria database describes Th4FeAu2 after structural relaxation. The functional is GGA-PBE.

Cell: 4.5363 6.0292 7.8642 Å, 70.33 73.24 67.90°
With the nearest neighbours (Å) after each atom.
Positions (direct):
Au 0.3635 0.6221 0.6509  1 Au 2.94, 4 Th 3.12-3.22
Au 0.6365 0.3779 0.3491  1 Au 2.94, 4 Th 3.12-3.22
Fe 0.0000 0.0000 0.0000  2 Th 2.53
Th 0.0757 0.1921 0.6565  1 Fe 2.53
Th 0.9243 0.8079 0.3435  1 Fe 2.53
Th 0.3293 0.2884 0.0530  2 Fe 2.87, 1 Au 3.12
Th 0.6707 0.7116 0.9470  2 Fe 2.87, 1 Au 3.12

Total DFT energy (no corrections)   -47.2 eV for the cell shown
Volume   184 Å³/f.u.



[19]
This record from the Alexandria database describes Th4FeAu after structural relaxation. The functional is GGA-PBE.

Cell: 6.0885 7.9509 8.1591 Å, 113.38 104.77 104.03°
With the nearest neighbours (Å) after each atom.
Positions (direct):
Th 0.3508 0.9349 0.6276  2 Fe 3.05-3.20, 2 Au 3.13-3.26, 1 Th 3.38
Th 0.9715 0.7964 0.1411  2 Fe 2.71-2.85
Th 0.2232 0.3073 0.3724  2 Fe 3.05-3.20, 2 Au 3.13-3.26, 1 Th 3.38
Th 0.3304 0.6553 0.8589  2 Fe 2.71-2.85
Th 0.6492 0.0651 0.3724  2 Fe 3.05-3.20, 2 Au 3.13-3.26, 1 Th 3.38
Th 0.7768 0.6927 0.6276  2 Fe 3.05-3.20, 2 Au 3.13-3.26, 1 Th 3.38
Th 0.0285 0.2036 0.8589  2 Fe 2.71-2.85
Th 0.6696 0.3447 0.1411  2 Fe 2.71-2.85
Fe 0.7566 0.0066 0.0132  4 Th 2.71-2.85
Fe 0.2434 0.9934 0.9868  4 Th 2.71-2.85
Au 0.3657 0.6157 0.2314  8 Th 3.13-3.26
Au 0.6343 0.3843 0.7686  8 Th 3.13-3.26

Energy above the lowest structure with this stoichiometry   46 meV per atom
Volume   162 Å³/f.u.



[20]
This record from the Alexandria database describes Th3FeAu2 after structural relaxation. The functional is GGA-PBE.

Cell: 5.0704 7.4319 8.3013 Å, 90.02 72.22 90.00°
With the nearest neighbours (Å) after each atom.
Positions (direct):
Th 0.5004 0.2500 0.0000  2 Fe 2.53-2.54
Th 0.4996 0.7500 0.0000  2 Fe 2.53-2.54
Th 0.1359 0.0002 0.7283  2 Fe 2.84
Th 0.8641 0.5000 0.2717  2 Fe 2.84
Th 0.1359 0.5000 0.7283  2 Fe 2.84
Th 0.8641 0.9998 0.2717  2 Fe 2.84
Fe 0.9985 0.7500 0.0005  2 Th 2.53-2.54
Fe 0.0015 0.2500 0.9995  2 Th 2.53-2.54
Au 0.6997 0.7500 0.5989  2 Au 2.98, 7 Th 3.17-3.31
Au 0.7014 0.2500 0.5989  2 Au 2.98, 7 Th 3.17-3.31
Au 0.2986 0.7500 0.4011  2 Au 2.98, 7 Th 3.17-3.31
Au 0.3003 0.2500 0.4011  2 Au 2.98, 7 Th 3.17-3.31

Total DFT energy (no corrections)   -79.8 eV for the cell shown
Volume   149 Å³/f.u.